Compound: BaBe2Pd
Source: Alexandria
Functional: GGA-PBE
Structure: optimized geometry

Properties
SG = Fm-3m
crystal system = cubic
energy above the lowest structure with this stoichiometry = 233.5 kJ/mol of formula units

Geometry as POSCAR:
```
BaBe2Pd
1.0
0.000 3.404 3.404
3.404 0.000 3.404
3.404 3.404 0.000
Be Ba Pd
2 1 1
Direct
0.250 0.250 0.250 Be
0.750 0.750 0.750 Be
0.500 0.500 0.500 Ba
0.000 0.000 0.000 Pd
```